(1)
A plane-wave DFT calculation with PBEsol was carried out for a geometry-optimized ZnCuAu structure.

Cell lengths 4.2152, 4.2152, 2.7296 Å; angles 90.00, 90.00, 120.00 degrees
With the nearest neighbours (Å) after each atom.
Space group P3m1 (No. 156)
Inequivalent atoms, fractional coordinates:
Zn: 0.0000 0.0000 0.0000  3 Cu 2.46, 3 Au 2.70, 2 Zn 2.73
Cu: 0.3333 0.6667 0.8702  3 Zn 2.46, 3 Au 2.72, 2 Cu 2.73
Au: 0.6667 0.3333 0.4261  6 Zn 2.70-2.89, 6 Cu 2.72-2.87, 2 Au 2.73

Properties
formation energy from the elements: -0.1107 eV per atom
excess energy over the best structure of this formula in the dataset: 8.9 kJ/mol of formula units
final energy: -3.3908 eV per atom
V: 42 Å³ per cell
total magnetic moment: 0.00 μB/f.u.



(2)
A plane-wave DFT calculation with PBEsol was carried out for a geometry-optimized Zn2NiAs structure.

Cell lengths 6.0627, 6.0627, 6.0627 Å; angles 90.00, 90.00, 90.00 degrees
With the nearest neighbours (Å) after each atom.
Space group F-43m (No. 216)
Inequivalent atoms, fractional coordinates:
Zn: 0.0000 0.0000 0.0000  4 Ni 2.63, 4 Zn 2.63
Zn: 0.2500 0.2500 0.2500  4 As 2.63, 4 Zn 2.63
Ni: 0.2500 0.2500 0.7500  4 As 2.63, 4 Zn 2.63
As: 0.0000 0.0000 0.5000  4 Ni 2.63, 4 Zn 2.63

Properties
formation energy from the elements: 0.1156 eV per atom
final energy: -3.4913 eV per atom
V: 223 Å³ per cell
total magnetic moment: 0.00 μB/f.u.



(3)
A plane-wave DFT calculation with PBEsol was carried out for a geometry-optimized TeOs2Br structure.

Cell lengths 2.9849, 5.2368, 8.9215 Å; angles 90.00, 90.00, 90.00 degrees
With the nearest neighbours (Å) after each atom.
Space group Immm (No. 71)
Inequivalent atoms, fractional coordinates:
Te: 0.0000 0.0000 0.0000  4 Os 2.68, 2 Te 2.98
Os: 0.0000 0.5000 0.2502  2 Te 2.68, 2 Br 2.69, 2 Os 2.98
Br: 0.0000 0.0000 0.5000  4 Os 2.69, 2 Br 2.98

Properties
excess energy over the best structure of this formula in the dataset: 152.4 kJ/mol of formula units
final energy: -6.1110 eV per atom
V: 139 Å³ per cell
raw formation energy: 5.38 eV per formula unit
total magnetic moment: 0.00 μB/f.u.



(4)
A plane-wave DFT calculation with PBEsol was carried out for a geometry-optimized CsY3Mg structure.

Cell lengths 5.5576, 5.5576, 5.5576 Å; angles 90.00, 90.00, 90.00 degrees
With the nearest neighbours (Å) after each atom.
Space group Pm-3m (No. 221)
Inequivalent atoms, fractional coordinates:
Cs: 0.0000 0.0000 0.0000  6 Y 2.78
Y: 0.0000 0.0000 0.5000  2 Cs 2.78
Mg: 0.5000 0.5000 0.5000  12 Y 3.93

Properties
formation energy from the elements: 1.1068 eV per atom
final energy: -3.5184 eV per atom
V: 172 Å³ per cell
total magnetic moment: 0.00 μB/f.u.



(5)
A plane-wave DFT calculation with PBEsol was carried out for a geometry-optimized CsAsN3 structure.

Cell lengths 4.0969, 4.0969, 4.0969 Å; angles 90.00, 90.00, 90.00 degrees
With the nearest neighbours (Å) after each atom.
Space group Pm-3m (No. 221)
Inequivalent atoms, fractional coordinates:
Cs: 0.0000 0.0000 0.0000  12 N 2.90
As: 0.5000 0.5000 0.5000  6 N 2.05
N: 0.0000 0.5000 0.5000  2 As 2.05

Properties
final energy: -4.9032 eV per atom
V: 69 Å³ per cell
raw formation energy: 7.11 eV per formula unit
total magnetic moment: 3.33 μB/f.u.



(6)
A plane-wave DFT calculation with PBEsol was carried out for a geometry-optimized FeRe2B2 structure.

Cell lengths 5.3592, 5.3592, 3.4334 Å; angles 90.00, 90.00, 90.00 degrees
With the nearest neighbours (Å) after each atom.
Space group P4/mbm (No. 127)
Inequivalent atoms, fractional coordinates:
Fe: 0.0000 0.0000 0.0000  4 B 2.13
Re: 0.1773 0.3227 0.5000  6 B 2.30-2.37
B: 0.1216 0.6216 0.0000  1 B 1.84

Properties
formation energy from the elements: -0.2963 eV per atom
final energy: -10.2283 eV per atom
V: 99 Å³ per cell
total magnetic moment: 0.00 μB/f.u.



(7)
A plane-wave DFT calculation with PBEsol was carried out for a geometry-optimized Bi2S3 structure.

Cell lengths 11.1612, 3.9632, 10.9262 Å; angles 90.00, 90.00, 90.00 degrees
With the nearest neighbours (Å) after each atom.
Space group Pnma (No. 62)
Inequivalent atoms, fractional coordinates:
Bi: 0.0076 0.2500 0.1758  6 S 2.70-2.97
Bi: 0.1664 0.7500 0.4703  5 S 2.64-2.94
S: 0.0493 0.2500 0.6296  3 Bi 2.64-2.94
S: 0.1232 0.7500 0.0562  3 Bi 2.70-2.93
S: 0.2181 0.2500 0.3056  3 Bi 2.74

Properties
final energy: -4.7376 eV per atom
V: 483 Å³ per cell
raw formation energy: -1.96 eV per formula unit
total magnetic moment: 0.00 μB/f.u.



(8)
A plane-wave DFT calculation with PBEsol was carried out for a geometry-optimized HoAsO4 structure.

Cell lengths 7.0289, 7.0289, 6.2727 Å; angles 90.00, 90.00, 90.00 degrees
With the nearest neighbours (Å) after each atom.
Space group I4_1/amd (No. 141, origin choice 2)
Inequivalent atoms, fractional coordinates:
Ho: 0.0000 0.2500 0.3750  8 O 2.27-2.39
As: 0.0000 0.2500 0.8750  4 O 1.71
O: 0.0000 0.0670 0.6959  1 As 1.71

Properties
final energy: -7.5904 eV per atom
V: 310 Å³ per cell
raw formation energy: -14.49 eV per formula unit
total magnetic moment: 0.00 μB/f.u.



(9)
A plane-wave DFT calculation with PBEsol was carried out for a geometry-optimized CaCoCl2 structure.

Cell lengths 3.9614, 3.6665, 10.6706 Å; angles 90.00, 90.00, 90.00 degrees
With the nearest neighbours (Å) after each atom.
Space group Amm2 (No. 38)
Inequivalent atoms, fractional coordinates:
Ca: 0.0000 0.0000 0.0000  6 Cl 2.83-2.85, 4 Co 3.02
Co: 0.5000 0.0000 0.6275  3 Cl 2.13-2.27
Cl: 0.0000 0.0000 0.7021  2 Co 2.13
Cl: 0.5000 0.0000 0.4146  1 Co 2.27

Properties
excess energy over the best structure of this formula in the dataset: 0.0 kJ/mol of formula units
final energy: -4.4250 eV per atom
V: 155 Å³ per cell
raw formation energy: -3.81 eV per formula unit
total magnetic moment: 1.00 μB/f.u.



(10)
A plane-wave DFT calculation with PBEsol was carried out for a geometry-optimized SrLiSeBr2 structure.

Cell lengths 4.9470, 4.9470, 5.0095 Å; angles 90.00, 90.00, 90.00 degrees
With the nearest neighbours (Å) after each atom.
Space group P4/mmm (No. 123)
Inequivalent atoms, fractional coordinates:
Sr: 0.0000 0.0000 0.0000  4 Se 3.50, 8 Br 3.52
Li: 0.5000 0.5000 0.5000  4 Br 2.47, 2 Se 2.50
Se: 0.5000 0.5000 0.0000  2 Li 2.50
Br: 0.0000 0.5000 0.5000  2 Li 2.47

Properties
final energy: -3.5587 eV per atom
V: 123 Å³ per cell
raw formation energy: -6.40 eV per formula unit
total magnetic moment: 0.44 μB/f.u.



(11)
A plane-wave DFT calculation with PBEsol was carried out for a geometry-optimized BaLaSb4 structure.

Cell lengths 8.9799, 8.9799, 8.9799 Å; angles 90.00, 90.00, 90.00 degrees
With the nearest neighbours (Å) after each atom.
Space group F-43m (No. 216)
Inequivalent atoms, fractional coordinates:
Ba: 0.0000 0.0000 0.0000  12 Sb 3.72, 4 La 3.89
La: 0.2500 0.2500 0.2500  12 Sb 3.72, 4 Ba 3.89
Sb: 0.1243 0.1243 0.6243  6 Sb 3.16-3.19

Properties
final energy: -4.7959 eV per atom
V: 724 Å³ per cell
raw formation energy: -3.05 eV per formula unit
total magnetic moment: 0.00 μB/f.u.



(12)
A plane-wave DFT calculation with PBEsol was carried out for a geometry-optimized LaInRh2 structure.

Cell lengths 4.0779, 3.7812, 10.2133 Å; angles 90.00, 90.00, 90.00 degrees
With the nearest neighbours (Å) after each atom.
Space group Amm2 (No. 38)
Inequivalent atoms, fractional coordinates:
La: 0.0000 0.0000 0.0000  5 Rh 2.69-2.87
In: 0.5000 0.0000 0.7120  7 Rh 2.83-2.93
Rh: 0.0000 0.0000 0.2630  2 Rh 2.67, 1 La 2.69, 4 In 2.83
Rh: 0.5000 0.0000 0.4314  2 Rh 2.67, 3 In 2.87-2.93, 4 La 2.87

Properties
formation energy from the elements: -0.5588 eV per atom
final energy: -6.7103 eV per atom
V: 157 Å³ per cell
total magnetic moment: 0.00 μB/f.u.